Entry 1:
The following is a DFT calculation (PBE) of an optimized crystal structure of BeAgHg2.

Lattice parameters (Å, degrees): 3.1184 3.1184 8.4929 90.00 90.00 114.52
Closest atoms and distances in Å follow each position.
Atoms (fractional coordinates):
Be  0.5000  0.5000  0.7500  4 Hg 2.51
Hg  0.0000  0.0000  0.9690  2 Be 2.51
Hg  0.0000  0.0000  0.5310  2 Be 2.51
Ag  0.5000  0.5000  0.2500  4 Hg 2.92, 4 Ag 3.12

## Properties
ΔH_f (0 K)	141	kJ/mol of formula units
total moment	0.0	μB/cell

=====

Entry 2:
The following is a DFT calculation (PBE) of an optimized crystal structure of BeAgHg2.

Lattice parameters (Å, degrees): 5.4797 5.4797 5.4797 147.59 119.28 70.53
Closest atoms and distances in Å follow each position.
Atoms (fractional coordinates):
Be  0.2500  0.7500  0.5000  4 Hg 2.47
Hg  0.0335  0.0335  0.0000  2 Be 2.47
Hg  0.4665  0.4665  0.0000  2 Be 2.47
Ag  0.7500  0.2500  0.5000  4 Hg 2.96, 2 Ag 3.06, 4 Be 3.16

## Properties
ΔH_f (0 K)	133	kJ/mol of formula units
total moment	0.0	μB/cell

=====

Entry 3:
The following is a DFT calculation (PBE) of an optimized crystal structure of BeAgHg2.

Lattice parameters (Å, degrees): 8.4666 8.4666 6.4562 49.03 49.03 90.00
Closest atoms and distances in Å follow each position.
Atoms (fractional coordinates):
Be  0.5000  0.5000  0.0000  2 Ag 2.42, 4 Hg 2.47
Be  0.2500  0.7500  0.5000  2 Ag 2.42, 4 Hg 2.47
Hg  0.5072  0.1250  0.2500  2 Be 2.47
Hg  0.2428  0.6250  0.2500  2 Be 2.47
Hg  0.3750  0.4928  0.7500  2 Be 2.47
Hg  0.8750  0.7572  0.7500  2 Be 2.47
Ag  0.0000  0.0000  0.0000  2 Be 2.42
Ag  0.7500  0.2500  0.5000  2 Be 2.42

## Properties
ΔH_f (0 K)	136	kJ/mol of formula units
total moment	0.0	μB/cell

=====

Entry 4:
The following is a DFT calculation (PBE) of an optimized crystal structure of Be4AgHg.

Lattice parameters (Å, degrees): 4.6364 4.6364 4.6364 60.00 60.00 60.00
Closest atoms and distances in Å follow each position.
Atoms (fractional coordinates):
Be  0.3744  0.8767  0.3744  6 Be 2.31-2.33
Be  0.8767  0.3744  0.3744  6 Be 2.31-2.33
Be  0.3744  0.3744  0.8767  6 Be 2.31-2.33
Be  0.3744  0.3744  0.3744  6 Be 2.31-2.33
Ag  0.0000  0.0000  0.0000  12 Be 2.72, 4 Hg 2.84
Hg  0.7500  0.7500  0.7500  12 Be 2.72, 4 Ag 2.84

## Properties
ΔH_f (0 K)	107	kJ/mol of formula units
total moment	0.0	μB/cell

=====

Entry 5:
The following is a DFT calculation (PBE) of an optimized crystal structure of BeAgHg2.

Lattice parameters (Å, degrees): 6.5535 6.5535 4.3115 70.85 70.85 25.85
Closest atoms and distances in Å follow each position.
Atoms (fractional coordinates):
Be  0.2442  0.2442  0.2572  2 Ag 2.56, 6 Hg 2.60-2.79
Hg  0.9413  0.9413  0.0574  2 Be 2.79, 2 Hg 2.93, 4 Ag 3.03
Hg  0.7450  0.7450  0.7552  4 Be 2.60-2.61
Ag  0.5695  0.5695  0.4301  2 Be 2.56

## Properties
ΔH_f (0 K)	89	kJ/mol of formula units
total moment	0.0	μB/cell

=====

Entry 6:
The following is a DFT calculation (PBE) of an optimized crystal structure of BeAgHg2.

Lattice parameters (Å, degrees): 4.6975 4.6975 4.6975 60.00 60.00 60.00
Closest atoms and distances in Å follow each position.
Atoms (fractional coordinates):
Be  0.2500  0.2500  0.2500  4 Hg 2.88, 4 Ag 2.88
Hg  0.0000  0.0000  0.0000  4 Be 2.88, 4 Hg 2.88
Hg  0.7500  0.7500  0.7500  4 Ag 2.88, 4 Hg 2.88
Ag  0.5000  0.5000  0.5000  4 Hg 2.88, 4 Be 2.88

## Properties
ΔH_f (0 K)	181	kJ/mol of formula units
total moment	0.0	μB/cell

=====

Listing final energy for the structures above in their given order: -1.429; -1.450; -1.444; -2.825; -1.565; -1.326 eV/atom.